## NbSe2Cl5 (PBE)

Data for an optimized crystal structure of NbSe2Cl5.

Output
- calculated density (g/cm³) = 2.1
- raw formation energy (meV per atom) = -791
- crystal system = triclinic
- space group = P1 (1)

```
data_NbSe2Cl5
_symmetry_space_group_name_H-M 'P 1'
_symmetry_Int_Tables_number 1
_symmetry_space_group_name_Hall 'P 1'
_cell_length_a 7.243
_cell_length_b 8.209
_cell_length_c 7.418
_cell_angle_alpha 90.34
_cell_angle_beta 60.43
_cell_angle_gamma 66.94
loop_
_atom_site_label
_atom_site_fract_x
_atom_site_fract_y
_atom_site_fract_z
_atom_site_occupancy
Nb1 0.028 0.000 0.994 1
Se1 0.861 0.487 0.602 1
Se2 0.193 0.511 0.437 1
Cl1 0.707 0.012 0.304 1
Cl2 0.204 0.679 0.911 1
Cl3 0.851 0.322 0.080 1
Cl4 0.027 0.998 0.686 1
Cl5 0.352 0.991 0.987 1
```



## NbSeCl (PBE)

Data for an optimized crystal structure of NbSeCl.

Output
- calculated density (g/cm³) = 3.9
- raw formation energy (meV per atom) = -790
- crystal system = monoclinic
- DOS at the Fermi energy (states/eV per atom) = 0.27
- space group = C2/m (12)

```
data_NbSeCl
_symmetry_space_group_name_H-M 'P 1'
_symmetry_Int_Tables_number 1
_symmetry_space_group_name_Hall 'P 1'
_cell_length_a 4.141
_cell_length_b 6.304
_cell_length_c 8.174
_cell_angle_alpha 61.42
_cell_angle_beta 75.33
_cell_angle_gamma 70.82
loop_
_atom_site_label
_atom_site_fract_x
_atom_site_fract_y
_atom_site_fract_z
_atom_site_occupancy
Nb1 0.393 0.743 0.471 1
Nb2 0.607 0.257 0.529 1
Se1 0.843 0.999 0.314 1
Se2 0.157 0.001 0.686 1
Cl1 0.592 0.597 0.220 1
Cl2 0.408 0.403 0.780 1
```